[1]
This record from Alexandria via LeMat-Bulk describes a relaxed structure of Be2CoPt. The functional is PBE.

## Properties
The calculation puts the excess energy over the best structure of this formula in the dataset at 223 meV per atom. The value obtained for the density of states at the Fermi level is 2.0 states/eV/f.u. The formation enthalpy at 0 K comes out at -0.375 eV/atom. As for the size of the total moment: 2.06 Bohr magnetons per cell.

The structure in CIF format:
```
data_Be2CoPt
_chemical_formula_sum 'Be4 Co2 Pt2'
_symmetry_space_group_name_H-M 'C 1 m 1'
_symmetry_Int_Tables_number 8
_cell_length_a 8.4277
_cell_length_b 2.6669
_cell_length_c 3.9610
_cell_angle_alpha 90.00
_cell_angle_beta 107.70
_cell_angle_gamma 90.00
loop_
_symmetry_equiv_pos_as_xyz
'x,y,z'
'x,-y,z'
'x+1/2,y+1/2,z'
'x+1/2,-y+1/2,z'
loop_
_atom_site_label
_atom_site_type_symbol
_atom_site_fract_x
_atom_site_fract_y
_atom_site_fract_z
Be1 Be 0.0000 0.0000 0.0000
Be2 Be 0.2392 0.5000 0.3436
Co1 Co 0.4869 0.0000 0.4742
Pt1 Pt 0.2525 0.0000 0.8539
```

=====

[2]
This record from Alexandria via LeMat-Bulk describes a relaxed structure of ZrTlIn2Cl6. The functional is PBE.

## Properties
For the total energy, the calculation gives -3.941 eV per atom. The value obtained for the density of states at the Fermi level is 2.5 states/eV/f.u. As for the size of the total moment: 1.60 Bohr magnetons per cell.

The structure in CIF format:
```
data_ZrTlIn2Cl6
_chemical_formula_sum 'Zr2 Tl2 In4 Cl12'
_symmetry_space_group_name_H-M 'C 1 2/m 1'
_symmetry_Int_Tables_number 12
_cell_length_a 13.1246
_cell_length_b 7.0797
_cell_length_c 6.8314
_cell_angle_alpha 90.00
_cell_angle_beta 100.35
_cell_angle_gamma 90.00
loop_
_symmetry_equiv_pos_as_xyz
'x,y,z'
'-x,-y,-z'
'-x,y,-z'
'x,-y,z'
'x+1/2,y+1/2,z'
'-x+1/2,-y+1/2,-z'
'-x+1/2,y+1/2,-z'
'x+1/2,-y+1/2,z'
loop_
_atom_site_label
_atom_site_type_symbol
_atom_site_fract_x
_atom_site_fract_y
_atom_site_fract_z
Zr1 Zr 0.0000 0.0000 0.0000
Tl1 Tl 0.0000 0.5000 0.5000
In1 In 0.2084 0.5000 0.2308
Cl1 Cl 0.1158 0.2416 0.8669
Cl2 Cl 0.1226 0.0000 0.3246
```

=====

[3]
This record from Alexandria via LeMat-Bulk describes a relaxed structure of Sm6Cd2Hg. The functional is PBE.

## Properties
The calculation puts the excess energy over the best structure of this formula in the dataset at 0 meV per atom. The value obtained for the density of states at the Fermi level is 10.9 states/eV/f.u. The formation enthalpy at 0 K comes out at -0.222 eV/atom. As for the size of the total moment: 0.00 Bohr magnetons per cell.

The structure in CIF format:
```
data_Sm6Cd2Hg
_chemical_formula_sum 'Sm6 Cd2 Hg1'
_symmetry_space_group_name_H-M 'P -3 m 1'
_symmetry_Int_Tables_number 164
_symmetry_space_group_name_Hall '-P 3 2"'
_cell_length_a 5.4650
_cell_length_b 5.4650
_cell_length_c 10.2916
_cell_angle_alpha 90.00
_cell_angle_beta 90.00
_cell_angle_gamma 120.00
loop_
_atom_site_label
_atom_site_type_symbol
_atom_site_fract_x
_atom_site_fract_y
_atom_site_fract_z
Sm1 Sm 0.0000 0.0000 0.1776
Sm2 Sm 0.3333 0.6667 0.0217
Sm3 Sm 0.3333 0.6667 0.3901
Cd1 Cd 0.3333 0.6667 0.7137
Hg1 Hg 0.0000 0.0000 0.5000
```